BeVF3: relaxed, PBE+U.

a b c (Å): 3.676 3.676 3.676
angles (deg): 90.00 90.00 90.00
Element x y z (fractional)
1 Be 0.000 0.000 0.000
2 V 0.500 0.500 0.500
3 F 0.000 0.000 0.500
4 F 0.000 0.500 0.000
5 F 0.500 0.000 0.000

Computed properties:
Magnetization   4.0 μB/cell
E   -5.108 eV/atom
Symmetry   Pm-3m